Density functional theory data (PBE) for an optimized crystal structure of ScTlSn.

abc: 4.6817 4.4166 7.4609
angles: 90.00 108.57 90.00
Positions (direct):
Sc  0.0730  0.5000  0.3850
Sc  0.3745  0.5000  0.9837
Tl  0.7242  0.5000  0.6853
Tl  0.8998  0.0000  0.0366
Sn  0.2222  0.0000  0.6812
Sn  0.5440  0.0000  0.3239

For the energy relative to the elements, the calculation gives -282 meV/atom. For the energy above the most stable polymorph in this dataset, the calculation gives 0.000 eV/f.u. The crystal system is monoclinic.

=====

Density functional theory data (PBE) for an optimized crystal structure of Nd2SmDy3Y6.

abc: 6.2166 6.2166 11.8552
angles: 94.99 94.99 119.96
Positions (direct):
Nd  0.3334  0.6666  0.0000
Nd  0.6666  0.3334  0.0000
Sm  0.0000  0.0000  0.0000
Dy  0.1667  0.8333  0.5000
Dy  0.8333  0.1667  0.5000
Dy  0.5000  0.5000  0.5000
Y  0.9154  0.5823  0.7472
Y  0.7516  0.7516  0.2530
Y  0.0846  0.4177  0.2528
Y  0.5823  0.9154  0.7472
Y  0.2484  0.2484  0.7470
Y  0.4177  0.0846  0.2528

For the energy relative to the elements, the calculation gives 17 meV/atom. The crystal system is monoclinic.

=====

Density functional theory data (PBE) for an optimized crystal structure of Rb3PuCu2O9.

abc: 5.7787 5.7787 7.1721
angles: 90.00 90.00 120.00
Positions (direct):
Rb  0.3333  0.6667  0.6766
Rb  0.0000  0.0000  0.0000
Rb  0.6667  0.3333  0.3234
Pu  0.0000  0.0000  0.5000
Cu  0.3333  0.6667  0.1586
Cu  0.6667  0.3333  0.8414
O  0.8373  0.1627  0.6615
O  0.8373  0.6745  0.6615
O  0.3255  0.1627  0.6615
O  0.6745  0.8373  0.3385
O  0.1627  0.3255  0.3385
O  0.1627  0.8373  0.3385
O  0.5000  0.0000  0.0000
O  0.0000  0.5000  0.0000
O  0.5000  0.5000  0.0000

The total energy is -5.82 eV/atom. The crystal system is trigonal.

=====

Density functional theory data (PBE) for an optimized crystal structure of Tb2GdFe.

abc: 5.1974 5.1974 5.2124
angles: 60.09 60.09 60.00
Positions (direct):
Gd  0.5000  0.5000  0.5000
Tb  0.2505  0.2505  0.2484
Tb  0.7495  0.7495  0.7516
Fe  0.0000  0.0000  0.0000

For the energy relative to the elements, the calculation gives 363 meV/atom. For the energy above the most stable polymorph in this dataset, the calculation gives 1.019 eV/f.u. The crystal system is trigonal.